Entry from Alexandria via LeMat-Bulk: Pm15Er4Tl after structural relaxation (PBE).

The structure in POSCAR format:
```
Pm15Er4Tl
1.0
-0.207 -4.725 -1.828
4.353 -1.102 2.355
-13.078 -7.430 20.690
Er Pm Tl
4 15 1
direct
0.000 0.000 0.400
0.000 0.000 0.600
0.000 0.000 0.199
0.000 0.000 0.801
0.000 0.500 0.299
0.000 0.500 0.500
0.500 0.000 0.299
0.000 0.500 0.902
0.500 0.500 0.000
0.500 0.000 0.098
0.500 0.500 0.802
0.500 0.500 0.601
0.500 0.500 0.399
0.500 0.000 0.902
0.500 0.500 0.198
0.000 0.500 0.701
0.500 0.000 0.701
0.500 0.000 0.500
0.000 0.500 0.098
0.000 0.000 0.000
```

Total magnetization in μB per atom: 0.00
Energy relative to the elements in meV/atom: -23
Calculated total energy in eV/atom: -4.62

---

Entry from Alexandria via LeMat-Bulk: Pm4Er5Tl after structural relaxation (PBE).

The structure in POSCAR format:
```
Pm4Er5Tl
1.0
-1.546 2.818 -2.578
-3.564 -2.064 -0.120
-6.136 9.758 14.347
Tl Er Pm
1 5 4
direct
0.000 0.000 0.000
0.500 0.500 0.707
0.500 0.500 0.912
0.500 0.500 0.293
0.500 0.500 0.088
0.500 0.500 0.500
0.000 0.000 0.196
0.000 0.000 0.804
0.000 0.000 0.603
0.000 0.000 0.397
```

Total magnetization in μB per atom: 0.00
Energy relative to the elements in meV/atom: 36
Calculated total energy in eV/atom: -4.38

---

Entry from Alexandria via LeMat-Bulk: Pm5ErTl4 after structural relaxation (PBE).

The structure in POSCAR format:
```
Pm5ErTl4
1.0
-4.185 4.766 -5.925
3.514 -4.537 -6.131
-7.177 -5.946 0.286
Tl Pm Er
8 10 2
direct
0.565 0.832 0.000
0.999 0.000 0.666
0.435 0.668 0.500
0.999 0.000 0.334
0.565 0.168 0.000
0.435 0.332 0.500
0.001 0.500 0.834
0.001 0.500 0.166
0.267 0.762 0.806
0.733 0.738 0.306
0.733 0.738 0.694
0.671 0.500 0.000
0.733 0.262 0.694
0.267 0.238 0.194
0.267 0.238 0.806
0.733 0.262 0.306
0.267 0.762 0.194
0.329 0.000 0.500
0.085 0.500 0.500
0.915 0.000 0.000
```

Total magnetization in μB per atom: 0.00
Energy relative to the elements in meV/atom: -29
Calculated total energy in eV/atom: -3.81

---

Entry from Alexandria via LeMat-Bulk: Pm8Er6Tl after structural relaxation (PBE).

The structure in POSCAR format:
```
Pm8Er6Tl
1.0
6.448 0.000 0.000
0.000 8.125 -4.691
0.000 0.000 9.382
Pm Er Tl
8 6 1
direct
0.818 0.230 0.957
0.169 0.667 0.333
0.818 0.043 0.273
0.182 0.273 0.230
0.831 0.333 0.667
0.818 0.727 0.770
0.182 0.957 0.727
0.182 0.770 0.043
0.671 0.902 0.548
0.671 0.452 0.354
0.329 0.548 0.646
0.671 0.646 0.098
0.329 0.098 0.452
0.329 0.354 0.902
0.500 0.000 0.000
```

Total magnetization in μB per atom: 0.00
Energy relative to the elements in meV/atom: 92
Calculated total energy in eV/atom: -4.43

---

Entry from Alexandria via LeMat-Bulk: Pm7ErTl5 after structural relaxation (PBE).

The structure in POSCAR format:
```
Pm7ErTl5
1.0
6.763 0.000 0.000
3.381 7.755 0.121
3.381 0.096 7.755
Pm Tl Er
7 5 1
direct
0.277 0.223 0.223
0.519 0.795 0.166
0.626 0.374 0.374
0.519 0.166 0.795
0.292 0.708 0.708
0.004 0.329 0.663
0.004 0.663 0.329
0.006 0.999 0.475
0.751 0.749 0.749
0.521 0.999 0.475
0.006 0.475 0.999
0.521 0.475 0.999
0.954 0.046 0.046
```

Total magnetization in μB per atom: 0.00
Energy relative to the elements in meV/atom: -170
Calculated total energy in eV/atom: -3.99

---

Entry from Alexandria via LeMat-Bulk: Pm9ErTl2 after structural relaxation (PBE).

The structure in POSCAR format:
```
Pm9ErTl2
1.0
4.975 0.000 0.000
0.000 4.975 0.000
0.000 0.000 15.290
Pm Tl Er
9 2 1
direct
0.000 0.500 0.828
0.500 0.500 0.000
0.500 0.500 0.664
0.500 0.000 0.828
0.500 0.000 0.500
0.000 0.500 0.172
0.500 0.500 0.336
0.000 0.500 0.500
0.500 0.000 0.172
0.000 0.000 0.661
0.000 0.000 0.339
0.000 0.000 0.000
```

Total magnetization in μB per atom: 0.00
Energy relative to the elements in meV/atom: -125
Calculated total energy in eV/atom: -4.46

---

Entry from Alexandria via LeMat-Bulk: PmEr2Tl after structural relaxation (PBE).

The structure in POSCAR format:
```
PmEr2Tl
1.0
-1.565 -2.326 2.198
0.775 -3.470 -0.233
7.916 -0.593 7.898
Er Tl Pm
2 1 1
direct
0.746 0.746 0.763
0.254 0.254 0.237
0.000 0.000 0.000
0.500 0.500 0.500
```

Total magnetization in μB per atom: 0.00
Energy relative to the elements in meV/atom: -113
Calculated total energy in eV/atom: -4.17

---

Entry from Alexandria via LeMat-Bulk: Pm6ErTl4 after structural relaxation (PBE).

The structure in POSCAR format:
```
Pm6ErTl4
1.0
-9.204 2.540 -1.219
5.280 -6.839 4.243
7.553 2.051 5.603
Pm Tl Er
6 4 1
direct
0.474 0.558 0.558
0.000 0.916 0.442
0.500 0.500 0.000
0.526 0.084 0.084
0.500 0.000 0.500
0.000 0.442 0.916
0.484 0.376 0.376
0.516 0.892 0.892
0.000 0.108 0.624
0.000 0.624 0.108
0.000 0.000 0.000
```

Total magnetization in μB per atom: 0.12
Energy relative to the elements in meV/atom: -164
Calculated total energy in eV/atom: -4.03

---

Entry from Alexandria via LeMat-Bulk: Pm5Er6Tl after structural relaxation (PBE).

The structure in POSCAR format:
```
Pm5Er6Tl
1.0
4.781 -0.006 -1.390
-3.231 8.508 -2.244
0.132 -0.422 9.363
Pm Er Tl
5 6 1
direct
0.500 0.500 0.500
0.000 0.337 0.663
0.500 0.168 0.832
0.000 0.663 0.337
0.500 0.832 0.168
0.255 0.755 0.755
0.246 0.412 0.081
0.754 0.588 0.919
0.754 0.919 0.588
0.745 0.245 0.245
0.246 0.081 0.412
0.000 0.000 0.000
```

Total magnetization in μB per atom: 0.00
Energy relative to the elements in meV/atom: -23
Calculated total energy in eV/atom: -4.48

---

Entry from Alexandria via LeMat-Bulk: Pm3Er3Tl2 after structural relaxation (PBE).

The structure in POSCAR format:
```
Pm3Er3Tl2
1.0
5.108 0.000 0.000
-2.554 5.976 0.000
0.000 0.000 16.456
Er Tl Pm
6 4 6
direct
0.364 0.728 0.961
0.440 0.880 0.250
0.364 0.728 0.539
0.636 0.272 0.461
0.560 0.120 0.750
0.636 0.272 0.039
0.235 0.471 0.373
0.765 0.529 0.627
0.765 0.529 0.873
0.235 0.471 0.127
0.955 0.910 0.104
0.045 0.090 0.604
0.045 0.090 0.896
0.722 0.443 0.250
0.278 0.557 0.750
0.955 0.910 0.396
```

Total magnetization in μB per atom: 0.00
Energy relative to the elements in meV/atom: -112
Calculated total energy in eV/atom: -4.20

---

Entry from Alexandria via LeMat-Bulk: Pm3Er2Tl3 after structural relaxation (PBE).

The structure in POSCAR format:
```
Pm3Er2Tl3
1.0
4.421 0.000 0.000
0.000 5.049 0.000
-2.210 -2.525 10.552
Tl Pm Er
3 3 2
direct
0.000 0.500 0.000
0.130 0.130 0.261
0.870 0.870 0.739
0.500 0.000 0.000
0.620 0.620 0.241
0.380 0.380 0.759
0.263 0.763 0.525
0.737 0.237 0.475
```

Total magnetization in μB per atom: 0.06
Energy relative to the elements in meV/atom: -266
Calculated total energy in eV/atom: -4.08

---

Entry from Alexandria via LeMat-Bulk: Pm5ErTl8 after structural relaxation (PBE).

The structure in POSCAR format:
```
Pm5ErTl8
1.0
8.159 0.051 -0.088
-2.713 7.695 0.088
-2.734 -3.866 6.646
Tl Pm Er
8 5 1
direct
0.460 0.589 0.203
0.614 0.411 0.871
0.612 0.908 0.875
0.129 0.743 0.540
0.967 0.092 0.704
0.125 0.737 0.033
0.296 0.263 0.388
0.797 0.257 0.386
0.500 0.000 0.500
0.753 0.636 0.629
0.993 0.364 0.117
0.883 0.875 0.247
0.371 0.125 0.007
0.250 0.500 0.750
```

Total magnetization in μB per atom: 0.00
Energy relative to the elements in meV/atom: -282
Calculated total energy in eV/atom: -3.66